Material: Na3Ga4Sn4
Method: DFT, GGA-PBE
State: optimized geometry

POSCAR file:
```
Na3Ga4Sn4
1.0
-2.4465 3.5135 8.2557
2.4465 -3.5135 8.2557
2.4465 3.5135 -8.2557
Na Ga Sn
3 4 4
Cartesian
0.0000 0.0000 0.0000
2.4465 0.0000 6.3481
0.0000 3.5135 1.9076
2.4465 1.3796 -2.7011
2.4465 1.3796 2.7011
0.0000 2.1338 5.5547
0.0000 2.1338 10.9568
0.0000 0.0000 3.6744
2.4465 2.0830 0.0000
0.0000 1.4305 8.2557
0.0000 0.0000 12.8371
```

Results
As for the total energy: -3.015 eV/atom. The energy of formation from the pure elements comes out at -0.10 eV per atom. Its calculated volume is 25.8 Å³/atom.

=====

Material: NaGaSn
Method: DFT, GGA-PBE
State: optimized geometry

POSCAR file:
```
NaGaSn
1.0
3.4851 0.0000 0.0000
0.0000 5.3940 0.0000
-1.5548 0.0000 7.9125
Na Ga Sn
2 2 2
Cartesian
0.0991 1.3485 0.9257
1.8312 4.0455 6.9869
0.0871 4.0455 4.4121
1.8432 1.3485 3.5004
0.1032 1.3485 5.7884
1.8271 4.0455 2.1241
```

Results
As for the total energy: -2.895 eV/atom. The energy of formation from the pure elements comes out at -0.11 eV per atom. Its calculated volume is 24.8 Å³/atom.

=====

Material: NaGaSn
Method: DFT, GGA-PBE
State: optimized geometry

POSCAR file:
```
NaGaSn
1.0
4.7099 0.0000 0.0000
-2.3549 4.0789 0.0000
0.0000 0.0000 7.5334
Na Ga Sn
2 2 2
Cartesian
0.0000 0.0000 0.0000
0.0000 0.0000 3.7667
0.0000 2.7193 1.3563
0.0000 2.7193 6.1771
2.3549 1.3596 2.1930
2.3549 1.3596 5.3404
```

Results
As for the total energy: -2.963 eV/atom. The energy of formation from the pure elements comes out at -0.18 eV per atom. Its calculated volume is 24.1 Å³/atom.

=====

Material: NaGa12Sn6
Method: DFT, GGA-PBE
State: optimized geometry

POSCAR file:
```
NaGa12Sn6
1.0
6.8454 3.9522 2.8794
-6.8454 3.9522 2.8794
0.0000 -7.9044 2.8794
Na Ga Sn
1 12 6
Cartesian
0.0000 0.0000 0.0000
-2.7190 -4.7095 4.3191
-5.4380 0.0000 4.3191
-1.3974 -0.8068 2.9565
1.3974 -0.8068 2.9565
0.0000 1.6135 2.9565
2.7190 -4.7095 4.3191
-2.7190 4.7095 4.3191
0.0000 -1.6135 5.6817
-1.3974 0.8068 5.6817
1.3974 0.8068 5.6817
5.4380 0.0000 4.3191
2.7190 4.7095 4.3191
-3.3700 -1.9457 4.6558
0.0000 -3.8914 3.9824
-3.3700 1.9457 3.9824
3.3700 -1.9457 4.6558
0.0000 3.8914 4.6558
3.3700 1.9457 3.9824
```

Results
As for the total energy: -3.178 eV/atom. The energy of formation from the pure elements comes out at 0.07 eV per atom. Its calculated volume is 24.6 Å³/atom.

=====

Material: Na3Ga8Sn3
Method: DFT, GGA-PBE
State: optimized geometry

POSCAR file:
```
Na3Ga8Sn3
1.0
-2.2284 5.3087 6.7969
2.2284 -5.3087 6.7969
2.2284 5.3087 -6.7969
Na Ga Sn
3 8 3
Cartesian
0.0000 0.0000 0.0000
0.0000 0.0000 4.1932
0.0000 0.0000 9.4006
2.2284 -1.2688 2.2655
2.2284 -2.5038 4.6037
2.2284 1.2688 2.2655
0.0000 2.8049 2.1932
2.2284 2.5038 4.6037
0.0000 4.0399 4.5315
0.0000 7.8125 2.1932
0.0000 6.5775 4.5315
2.2284 2.9968 0.0000
0.0000 5.3087 0.0000
0.0000 2.3119 6.7969
```

Results
As for the total energy: -2.976 eV/atom. The energy of formation from the pure elements comes out at -0.11 eV per atom. Its calculated volume is 23.0 Å³/atom.

=====

Material: NaGaSn
Method: DFT, GGA-PBE
State: optimized geometry

POSCAR file:
```
NaGaSn
1.0
3.8264 0.0000 0.0000
0.0000 4.2242 0.0000
0.0000 0.0000 5.4320
Na Ga Sn
1 1 1
Cartesian
0.0000 0.0000 0.0000
0.0000 2.1121 2.7160
1.9132 0.0000 2.7160
```

Results
As for the total energy: -2.777 eV/atom. The energy of formation from the pure elements comes out at 0.01 eV per atom. Its calculated volume is 29.3 Å³/atom.

=====

Material: NaGaSn
Method: DFT, GGA-PBE
State: optimized geometry

POSCAR file:
```
NaGaSn
1.0
3.3534 0.0000 0.0000
0.0000 3.3534 0.0000
0.0000 0.0000 13.2530
Na Ga Sn
2 2 2
Cartesian
0.0000 0.0000 0.0000
1.6767 1.6767 6.6265
0.0000 0.0000 4.3872
1.6767 1.6767 11.0137
0.0000 0.0000 9.1370
1.6767 1.6767 2.5105
```

Results
As for the total energy: -2.884 eV/atom. The energy of formation from the pure elements comes out at -0.10 eV per atom. Its calculated volume is 24.8 Å³/atom.

=====

Material: Na3Ga3Sn8
Method: DFT, GGA-PBE
State: optimized geometry

POSCAR file:
```
Na3Ga3Sn8
1.0
-2.2548 6.2209 6.6545
2.2548 -6.2209 6.6545
2.2548 6.2209 -6.6545
Na Ga Sn
3 3 8
Cartesian
0.0000 0.0000 0.0000
0.0000 0.0000 3.8035
0.0000 0.0000 9.5054
2.2548 4.4363 0.0000
0.0000 6.2209 0.0000
0.0000 1.7845 6.6545
2.2548 1.6933 -1.6690
2.2548 -2.4634 4.7100
2.2548 1.6933 1.6690
0.0000 3.7575 1.9445
2.2548 2.4634 4.7100
0.0000 4.5276 4.9855
0.0000 8.6843 1.9445
0.0000 4.5276 8.3234
```

Results
As for the total energy: -3.286 eV/atom. The energy of formation from the pure elements comes out at -0.07 eV per atom. Its calculated volume is 26.7 Å³/atom.

=====

Material: NaGaSn
Method: DFT, GGA-PBE
State: optimized geometry

POSCAR file:
```
NaGaSn
1.0
3.2467 0.0000 0.0000
0.0000 4.9780 0.0000
0.0000 0.0000 8.8372
Na Ga Sn
2 2 2
Cartesian
0.0000 0.0000 0.0000
0.0000 2.4890 4.4186
1.6234 0.0000 3.0680
1.6234 0.0000 5.7692
1.6234 2.4890 1.5697
1.6234 2.4890 7.2675
```

Results
As for the total energy: -2.898 eV/atom. The energy of formation from the pure elements comes out at -0.12 eV per atom. Its calculated volume is 23.8 Å³/atom.

=====

Material: NaGaSn
Method: DFT, GGA-PBE
State: optimized geometry

POSCAR file:
```
NaGaSn
1.0
6.1266 0.0000 0.0000
0.0000 6.2083 0.0000
-3.6682 0.0000 7.9666
Na Ga Sn
4 4 4
Cartesian
0.0036 0.8086 1.7625
-1.8305 2.2955 5.7458
4.2889 3.9127 2.2208
2.4548 5.3997 6.2041
1.1412 3.4139 0.5596
-0.6929 5.8985 4.5429
3.1513 0.3098 3.4237
1.3172 2.7944 7.4070
1.2410 4.3442 3.1934
-0.5931 4.9682 7.1767
3.0516 1.2401 0.7899
1.2175 1.8641 4.7732
```

Results
As for the total energy: -2.956 eV/atom. The energy of formation from the pure elements comes out at -0.17 eV per atom. Its calculated volume is 25.3 Å³/atom.

=====

Material: NaGaSn
Method: DFT, GGA-PBE
State: optimized geometry

POSCAR file:
```
NaGaSn
1.0
5.6055 0.0000 0.0000
0.0000 6.4162 0.0000
0.0000 0.0000 8.3345
Na Ga Sn
4 4 4
Cartesian
0.0000 1.6041 1.0169
0.0000 4.8122 7.3176
2.8027 1.6041 3.1503
2.8027 4.8122 5.1842
1.4014 1.6041 6.2509
1.4014 4.8122 2.0836
4.2041 1.6041 6.2509
4.2041 4.8122 2.0836
0.0000 0.0000 4.1673
0.0000 3.2081 4.1673
2.8027 0.0000 0.0000
2.8027 3.2081 0.0000
```

Results
As for the total energy: -2.888 eV/atom. The energy of formation from the pure elements comes out at -0.11 eV per atom. Its calculated volume is 25.0 Å³/atom.

=====

Material: NaGaSn
Method: DFT, GGA-PBE
State: optimized geometry

POSCAR file:
```
NaGaSn
1.0
7.3139 0.0000 0.0000
0.0000 7.3139 0.0000
0.0000 0.0000 7.8572
Na Ga Sn
4 4 4
Cartesian
0.0000 2.6027 0.0000
0.0000 4.7112 3.9286
2.6027 0.0000 5.8929
4.7112 0.0000 1.9643
2.5670 2.5670 2.9465
2.5670 4.7469 0.9822
4.7469 2.5670 4.9108
4.7469 4.7469 6.8751
2.0758 3.6570 5.8929
3.6570 2.0758 0.0000
3.6570 5.2382 3.9286
5.2382 3.6570 1.9643
```

Results
As for the total energy: -2.754 eV/atom. The energy of formation from the pure elements comes out at 0.03 eV per atom. Its calculated volume is 35.0 Å³/atom.